[1]
The following is a DFT calculation (PBE) of an optimized crystal structure of BaMg2CuCl8.

Unit cell a=6.538 b=6.210 c=8.701 alpha=83.41 beta=81.98 gamma=81.15
Last column: magnetic moment on the atom in μB.
Atoms (fractional coordinates):
Ba: 0.000 0.000 0.500  0.00
Mg: 0.546 0.549 0.816  0.00
Mg: 0.454 0.451 0.184  0.00
Cu: 0.000 0.000 0.000  0.51
Cl: 0.135 0.758 0.197  0.09
Cl: 0.650 0.712 0.023  0.00
Cl: 0.802 0.191 0.197  0.09
Cl: 0.865 0.242 0.803  0.09
Cl: 0.350 0.288 0.977  0.00
Cl: 0.198 0.809 0.803  0.09
Cl: 0.670 0.679 0.559  0.02
Cl: 0.330 0.321 0.441  0.02

Summary:
Formation energy without anion corrections   -19.10 eV per formula unit
Space-group type   No. 2



[2]
The following is a DFT calculation (PBE) of an optimized crystal structure of BaMnCu2Cl8.

Unit cell a=6.098 b=6.098 c=8.925 alpha=88.62 beta=88.62 gamma=70.43
Last column: magnetic moment on the atom in μB.
Atoms (fractional coordinates):
Ba: 0.000 0.000 0.500  0.00
Mn: 0.000 0.000 0.000  3.43
Cu: 0.643 0.643 0.215  -0.24
Cu: 0.357 0.357 0.785  -0.24
Cl: 0.765 0.238 0.807  -0.03
Cl: 0.768 0.768 0.002  -0.01
Cl: 0.687 0.687 0.459  -0.03
Cl: 0.313 0.313 0.541  -0.03
Cl: 0.232 0.232 0.998  -0.01
Cl: 0.238 0.765 0.807  -0.03
Cl: 0.762 0.235 0.193  -0.03
Cl: 0.235 0.762 0.193  -0.03

Summary:
Formation energy without anion corrections   -13.72 eV per formula unit
Space-group type   No. 12



[3]
The following is a DFT calculation (PBE) of an optimized crystal structure of BaMn2CuCl8.

Unit cell a=6.464 b=6.464 c=8.612 alpha=90.00 beta=90.00 gamma=120.00
Last column: magnetic moment on the atom in μB.
Atoms (fractional coordinates):
Ba: 0.000 0.000 0.000  0.00
Mn: 0.667 0.333 0.270  4.17
Mn: 0.333 0.667 0.730  4.17
Cu: 0.000 0.000 0.500  -0.34
Cl: 0.333 0.667 0.998  0.05
Cl: 0.300 0.300 0.324  0.01
Cl: 0.700 0.999 0.324  0.01
Cl: 0.667 0.333 0.002  0.05
Cl: 0.300 0.001 0.676  0.01
Cl: 0.700 0.700 0.676  0.01
Cl: 0.999 0.300 0.676  0.01
Cl: 0.001 0.700 0.324  0.01

Summary:
Formation energy without anion corrections   -14.94 eV per formula unit
Space-group type   No. 147



[4]
The following is a DFT calculation (PBE) of an optimized crystal structure of BaNa3Cu4Cl12.

Unit cell a=8.734 b=8.734 c=8.734 alpha=103.53 beta=103.53 gamma=103.53
Last column: magnetic moment on the atom in μB.
Atoms (fractional coordinates):
Ba: 0.000 0.000 0.000  0.00
Na: 0.561 0.439 0.000  0.00
Na: 0.439 0.000 0.561  0.00
Na: 0.000 0.561 0.439  0.00
Cu: 0.934 0.066 0.500  0.40
Cu: 0.066 0.500 0.934  0.40
Cu: 0.500 0.934 0.066  0.40
Cu: 0.500 0.500 0.500  0.46
Cl: 0.500 0.341 0.659  0.11
Cl: 0.905 0.500 0.095  0.13
Cl: 0.095 0.905 0.500  0.13
Cl: 0.500 0.095 0.905  0.13
Cl: 0.336 0.978 0.213  0.06
Cl: 0.213 0.336 0.978  0.06
Cl: 0.978 0.213 0.336  0.06
Cl: 0.664 0.787 0.022  0.06
Cl: 0.022 0.664 0.787  0.06
Cl: 0.787 0.022 0.664  0.06
Cl: 0.659 0.500 0.341  0.11
Cl: 0.341 0.659 0.500  0.11

Summary:
Formation energy without anion corrections   -22.73 eV per formula unit
Space-group type   No. 155



[5]
The following is a DFT calculation (PBE) of an optimized crystal structure of BaNaCu2Cl8.

Unit cell a=6.455 b=6.455 c=9.290 alpha=90.00 beta=90.00 gamma=120.00
Last column: magnetic moment on the atom in μB.
Atoms (fractional coordinates):
Ba: 0.000 0.000 0.000  0.00
Na: 0.000 0.000 0.500  0.00
Cu: 0.667 0.333 0.241  0.61
Cu: 0.333 0.667 0.759  0.61
Cl: 0.333 0.667 0.001  0.23
Cl: 0.315 0.304 0.287  0.17
Cl: 0.696 0.011 0.287  0.17
Cl: 0.667 0.333 0.999  0.23
Cl: 0.304 0.989 0.713  0.17
Cl: 0.685 0.696 0.713  0.17
Cl: 0.011 0.315 0.713  0.17
Cl: 0.989 0.685 0.287  0.17

Summary:
Formation energy without anion corrections   -12.85 eV per formula unit
Space-group type   No. 147



[6]
The following is a DFT calculation (PBE) of an optimized crystal structure of BaNaCuCl2.

Unit cell a=5.949 b=6.262 c=5.949 alpha=90.00 beta=90.00 gamma=90.00
Atoms (fractional coordinates):
Na: 0.500 0.500 0.500
Ba: 0.000 0.000 0.000
Cu: 0.000 0.500 0.000
Cl: 0.000 0.000 0.500
Cl: 0.500 0.000 0.000

Summary:
Formation energy without anion corrections   -4.74 eV per formula unit
Space-group type   No. 123